1.
This record from Alexandria describes a geometry-optimized CaEr2HfAs4 structure. The functional is PBE.

a = 4.0317 Å, b = 7.0393 Å, c = 6.9528 Å
α = 109.02°, β = 90.00°, γ = 90.00°
Last column: nearest neighbours and their distance in Å.
Element x y z (fractional)
As  0.5000  0.7635  0.7601  2 Hf 2.79, 3 Er 2.83-2.93, 1 Ca 2.87
As  0.0000  0.2377  0.7522  1 Hf 2.77, 3 Er 2.83-2.93, 2 Ca 2.89
Er  0.0000  0.5000  0.5000  6 As 2.93
Hf  0.0000  0.0000  0.0000  6 As 2.77-2.79
As  0.5000  0.2365  0.2399  2 Hf 2.79, 3 Er 2.83-2.93, 1 Ca 2.87
Ca  0.5000  0.5000  0.0000  6 As 2.87-2.89
Er  0.5000  0.0000  0.5000  6 As 2.83
As  0.0000  0.7623  0.2478  1 Hf 2.77, 3 Er 2.83-2.93, 2 Ca 2.89

Output
Calculated total energy ... -49.971 eV per cell


2.
This record from Alexandria describes a geometry-optimized Cs2CaH2Br2 structure. The functional is PBE.

a = 4.9636 Å, b = 4.9636 Å, c = 9.6688 Å
α = 104.87°, β = 104.87°, γ = 90.00°
Last column: nearest neighbours and their distance in Å.
Element x y z (fractional)
Br  0.8392  0.8392  0.6784  1 Ca 2.90
Br  0.1608  0.1608  0.3216  1 Ca 2.90
H  0.5000  0.0000  0.0000  2 Ca 2.48
Cs  0.6302  0.6302  0.2604  4 H 3.41, 5 Br 3.55-3.77
H  0.0000  0.5000  0.0000  2 Ca 2.48
Cs  0.3698  0.3698  0.7396  4 H 3.41, 5 Br 3.55-3.77
Ca  0.0000  0.0000  0.0000  4 H 2.48

Output
Calculated total energy ... -21.816 eV per cell


3.
This record from Alexandria describes a geometry-optimized CsMgPO2 structure. The functional is PBE.

a = 4.3148 Å, b = 4.3148 Å, c = 5.7853 Å
α = 90.00°, β = 90.00°, γ = 90.00°
Last column: nearest neighbours and their distance in Å.
Element x y z (fractional)
P  0.0000  0.0000  0.5000  2 Cs 2.89, 4 Mg 3.05
O  0.0000  0.5000  0.0000  2 Cs 2.16
Cs  0.0000  0.0000  0.0000  4 O 2.16
Mg  0.5000  0.5000  0.5000  4 P 3.05
O  0.5000  0.0000  0.0000  2 Cs 2.16

Output
Polymorph energy (0 for the lowest one) ... 942.7 meV per atom
ΔE_f (raw) ... 0.682 eV/atom


4.
This record from Alexandria describes a geometry-optimized SrCaInAg2 structure. The functional is PBE.

a = 5.4124 Å, b = 6.5582 Å, c = 5.4124 Å
α = 90.00°, β = 90.00°, γ = 90.00°
Last column: nearest neighbours and their distance in Å.
Element x y z (fractional)
Ag  0.0000  0.0000  0.5000  2 Ca 2.71
In  0.5000  0.5000  0.5000  4 Sr 3.83, 8 Ag 4.25
Ca  0.0000  0.0000  0.0000  4 Ag 2.71
Sr  0.0000  0.5000  0.0000  2 Ca 3.28
Ag  0.5000  0.0000  0.0000  2 Ca 2.71

Output
Polymorph energy (0 for the lowest one) ... 97.0 meV per atom


5.
This record from Alexandria describes a geometry-optimized Ca8Cd2Hg structure. The functional is PBE.

a = 5.3228 Å, b = 9.2240 Å, c = 9.2002 Å
α = 120.09°, β = 106.81°, γ = 90.00°
Last column: nearest neighbours and their distance in Å.
Element x y z (fractional)
Ca  0.6602  0.8776  0.3204  3 Cd 3.38, 1 Hg 3.55, 5 Ca 3.60-3.75
Ca  0.0000  0.6808  0.0000  7 Ca 3.33-3.60, 2 Cd 3.39
Ca  0.3398  0.5572  0.6796  3 Cd 3.38, 1 Hg 3.55, 5 Ca 3.60-3.75
Ca  0.1326  0.1326  0.2652  2 Hg 3.32, 4 Ca 3.55-3.70, 2 Cd 3.69
Cd  0.1968  0.6968  0.3936  10 Ca 3.38-3.69
Ca  0.3398  0.1224  0.6796  3 Cd 3.38, 1 Hg 3.55, 5 Ca 3.60-3.75
Cd  0.8032  0.3032  0.6064  10 Ca 3.38-3.69
Hg  0.5000  0.0000  0.0000  8 Ca 3.32-3.55
Ca  0.6602  0.4428  0.3204  3 Cd 3.38, 1 Hg 3.55, 5 Ca 3.60-3.75
Ca  0.8674  0.8674  0.7348  2 Hg 3.32, 4 Ca 3.55-3.70, 2 Cd 3.69
Ca  0.0000  0.3192  0.0000  7 Ca 3.33-3.60, 2 Cd 3.39

Output
Polymorph energy (0 for the lowest one) ... 49.2 meV per atom


6.
This record from Alexandria describes a geometry-optimized Ga2Sb2Os structure. The functional is PBE.

a = 3.9189 Å, b = 3.9189 Å, c = 8.1700 Å
α = 76.12°, β = 76.12°, γ = 90.00°
Last column: nearest neighbours and their distance in Å.
Element x y z (fractional)
Ga  0.5807  0.5807  0.8385  1 Ga 2.48
Sb  0.2500  0.7500  0.5000  4 Sb 2.77
Sb  0.7500  0.2500  0.5000  4 Sb 2.77
Os  0.0000  0.0000  0.0000  8 Ga 3.04
Ga  0.4193  0.4193  0.1615  1 Ga 2.48

Output
Polymorph energy (0 for the lowest one) ... 644.8 meV per atom
ΔE_f (raw) ... 1.090 eV/atom